1.
Compound: LiTmTi2O6
Source: Alexandria
Functional: PBE
Structure: optimized geometry

Energy in eV per atom: -8.25

Geometry as extended XYZ:
```
20
Lattice="4.7163 -5.1401 0.0000 4.7163 5.1401 0.0000 -2.4529 0.0000 5.5145" Properties=species:S:1:pos:R:3 pbc="T T T"
Li 2.8767 3.0582 4.1359
Li 4.1031 -3.0582 1.3786
Tm 4.1031 4.1328 1.3786
Tm 2.8767 -4.1328 4.1359
Ti 2.5063 0.8810 1.6705
Ti 1.2799 -0.8810 4.4277
Ti 5.6999 0.8810 1.0868
Ti 4.4735 -0.8810 3.8441
O 0.8296 0.7171 0.8825
O 2.7136 2.5833 2.1628
O -0.3969 -0.7171 3.6398
O 3.5415 0.5157 0.1775
O 5.4926 2.5833 0.5945
O 2.3151 -0.5157 2.9347
O 4.6646 0.5157 2.5798
O 1.4871 -2.5833 4.9201
O 3.4382 -0.5157 5.3371
O 7.3766 0.7171 1.8748
O 4.2662 -2.5833 3.3518
O 6.1502 -0.7171 4.6320
```

=====

2.
Compound: LiUTiO6
Source: Alexandria
Functional: PBE
Structure: optimized geometry

Energy in eV per atom: -8.26

Geometry as extended XYZ:
```
18
Lattice="4.8528 0.0000 0.0000 0.0000 4.8528 0.0000 0.0000 0.0000 9.3737" Properties=species:S:1:pos:R:3 pbc="T T T"
Li 0.0000 0.0000 0.0000
Li 2.4264 2.4264 4.6868
U 0.0000 0.0000 3.1623
U 2.4264 2.4264 7.8491
Ti 0.0000 0.0000 6.3185
Ti 2.4264 2.4264 1.6316
O 0.8956 0.8956 4.8008
O 0.9576 0.9576 7.7491
O 1.0310 1.0310 1.7015
O 1.3954 3.4574 6.3884
O 1.4688 3.3840 3.0623
O 1.5308 3.3220 0.1140
O 3.3220 1.5308 0.1140
O 3.3840 1.4688 3.0623
O 3.4574 1.3954 6.3884
O 3.8218 3.8218 1.7015
O 3.8951 3.8951 7.7491
O 3.9572 3.9572 4.8008
```

=====

no.,formation energy (no corrections) (kJ/mol of atoms),spin magnetization (μB per cell),mass density (g cm⁻³)
1,-295,0.00,4.566
2,-252,1.26,5.850